Below is a relaxed structure of Dy4Y4Sc, with properties calculated at the PBE level.

a b c (Å): 7.890 7.890 7.890
angles (deg): 95.70 95.70 143.27
Positions (direct):
Dy (0.000, 0.333, 0.333)
Dy (0.000, 0.667, 0.667)
Dy (0.333, 0.000, 0.333)
Dy (0.667, 0.000, 0.667)
Y (0.336, 0.336, 0.671)
Y (0.336, 0.664, 0.000)
Y (0.664, 0.336, 0.000)
Y (0.664, 0.664, 0.329)
Sc (0.000, 0.000, 0.000)

Computed properties:
**E**: -5.587 eV per atom
**ΔE_f**: 0.3 eV/f.u.
**Volume**: 278.8 Å³/cell
**Magnetic moment**: 0.00 μB/cell